An optimized crystal structure of GdTmLuTh. Source: Alexandria via LeMat-Bulk, functional PBE-GGA.

Its formation energy is 102 meV/atom.

The space group is F-43m (No. 216) and the conventional cell measures 7.945, 7.945 and 7.945 Å, with angles of 90.00, 90.00 and 90.00 degrees. The asymmetric unit holds Gd at (0.000, 0.000, 0.000), Tm at (0.250, 0.250, 0.250), Lu at (0.250, 0.250, 0.750) and Th at (0.000, 0.000, 0.500).